Computed, not measured: crystalline Pm2Pd5Pt at its relaxed geometry at the GGA-PBE level of DFT.

a = 4.192 Å, b = 5.909 Å, c = 11.823 Å
α = 90.00°, β = 90.00°, γ = 90.00°
Sites, in units of the cell vectors:
Pt  0.000  0.000  0.500
Pt  0.000  0.500  0.000
Pd  0.000  0.498  0.249
Pd  0.500  0.252  0.875
Pd  0.500  0.748  0.125
Pd  0.000  0.000  0.000
Pd  0.500  0.248  0.375
Pd  0.000  0.500  0.500
Pd  0.000  0.002  0.749
Pd  0.000  0.998  0.251
Pd  0.000  0.502  0.751
Pd  0.500  0.752  0.625
Pm  0.500  0.249  0.125
Pm  0.500  0.749  0.375
Pm  0.500  0.251  0.625
Pm  0.500  0.751  0.875

Properties
Space group = No. 55

---

Computed, not measured: crystalline Pm2Pd5Pt5 at its relaxed geometry at the GGA-PBE level of DFT.

a = 4.488 Å, b = 5.371 Å, c = 9.248 Å
α = 90.00°, β = 90.00°, γ = 90.00°
Sites, in units of the cell vectors:
Pm  0.000  0.000  0.500
Pm  0.000  0.500  0.000
Pd  0.000  0.500  0.333
Pd  0.500  0.000  0.000
Pd  0.000  0.000  0.832
Pd  0.000  0.500  0.667
Pd  0.000  0.000  0.168
Pt  0.500  0.751  0.251
Pt  0.500  0.249  0.749
Pt  0.500  0.751  0.749
Pt  0.500  0.249  0.251
Pt  0.500  0.500  0.500

Properties
Space group = No. 47

---

Computed, not measured: crystalline Pm8Pd2Pt at its relaxed geometry at the GGA-PBE level of DFT.

a = 6.274 Å, b = 7.831 Å, c = 7.831 Å
α = 113.93°, β = 101.01°, γ = 101.01°
Sites, in units of the cell vectors:
Pm  0.359  0.914  0.654
Pm  0.806  0.645  0.645
Pm  0.982  0.204  0.795
Pm  0.592  0.348  0.089
Pm  0.359  0.654  0.914
Pm  0.592  0.089  0.348
Pm  0.167  0.363  0.363
Pm  0.982  0.795  0.204
Pd  0.489  0.316  0.694
Pd  0.489  0.694  0.316
Pt  0.185  0.012  0.012

Properties
Relative energy among the computed polymorphs = 96 meV/atom
Space group = No. 8

---

Computed, not measured: crystalline Pm6Pd5Pt at its relaxed geometry at the GGA-PBE level of DFT.

a = 7.219 Å, b = 7.256 Å, c = 7.256 Å
α = 60.00°, β = 80.33°, γ = 70.36°
Sites, in units of the cell vectors:
Pm  0.248  0.918  0.670
Pm  0.752  0.413  0.670
Pm  0.752  0.082  0.330
Pm  0.751  0.753  0.000
Pm  0.249  0.247  0.000
Pm  0.248  0.587  0.330
Pd  0.000  0.666  0.667
Pd  0.000  0.334  0.333
Pd  0.500  0.168  0.664
Pd  0.500  0.832  0.336
Pd  0.500  0.500  0.000
Pt  0.000  0.000  0.000

Properties
Relative energy among the computed polymorphs = 71 meV/atom
Space group = No. 12

---

Computed, not measured: crystalline Pm5PdPt2 at its relaxed geometry at the GGA-PBE level of DFT.

a = 7.907 Å, b = 7.907 Å, c = 8.794 Å
α = 116.72°, β = 116.72°, γ = 90.00°
Sites, in units of the cell vectors:
Pm  0.695  0.195  0.718
Pm  0.024  0.524  0.718
Pm  0.500  0.500  0.000
Pm  0.805  0.976  0.282
Pm  0.524  0.695  0.718
Pm  0.476  0.305  0.282
Pm  0.000  0.000  0.000
Pm  0.195  0.024  0.718
Pm  0.305  0.805  0.282
Pm  0.976  0.476  0.282
Pd  0.750  0.750  0.500
Pd  0.250  0.250  0.500
Pt  0.867  0.633  0.000
Pt  0.367  0.867  0.000
Pt  0.633  0.133  0.000
Pt  0.133  0.367  0.000

Properties
Space group = No. 140

---

Computed, not measured: crystalline Pm8Pd5Pt at its relaxed geometry at the GGA-PBE level of DFT.

a = 7.796 Å, b = 7.796 Å, c = 7.796 Å
α = 109.53°, β = 109.36°, γ = 109.53°
Sites, in units of the cell vectors:
Pd  0.748  0.626  0.622
Pd  0.378  0.126  0.004
Pd  0.878  0.874  0.252
Pd  0.500  0.000  0.500
Pd  0.996  0.374  0.122
Pm  0.243  0.253  0.376
Pm  0.123  0.747  0.990
Pm  0.620  0.368  0.873
Pm  0.624  0.867  0.877
Pm  0.748  0.253  0.380
Pm  0.010  0.133  0.757
Pm  0.505  0.632  0.252
Pm  0.127  0.747  0.495
Pt  0.250  0.500  0.750

Properties
Space group = No. 82

---

Computed, not measured: crystalline Pm4Pd2Pt at its relaxed geometry at the GGA-PBE level of DFT.

a = 4.620 Å, b = 5.939 Å, c = 7.590 Å
α = 104.22°, β = 107.72°, γ = 90.00°
Sites, in units of the cell vectors:
Pt  0.000  0.000  0.000
Pm  0.840  0.197  0.680
Pm  0.411  0.719  0.821
Pm  0.160  0.803  0.320
Pm  0.589  0.281  0.179
Pd  0.230  0.329  0.460
Pd  0.770  0.671  0.540

Properties
Space group = No. 12

---

Computed, not measured: crystalline PmPd8Pt4 at its relaxed geometry at the GGA-PBE level of DFT.

a = 5.310 Å, b = 6.987 Å, c = 6.987 Å
α = 81.70°, β = 67.67°, γ = 67.67°
Sites, in units of the cell vectors:
Pt  0.000  0.000  0.500
Pt  0.500  0.500  0.000
Pt  0.500  0.000  0.500
Pt  0.000  0.500  0.000
Pd  0.500  0.218  0.782
Pd  0.500  0.782  0.218
Pd  0.000  0.653  0.347
Pd  0.000  0.347  0.653
Pd  0.347  0.653  0.653
Pd  0.653  0.347  0.347
Pd  0.282  0.218  0.218
Pd  0.718  0.782  0.782
Pm  0.000  0.000  0.000

Properties
Space group = No. 139

---

Computed, not measured: crystalline Pm6Pd5Pt at its relaxed geometry at the GGA-PBE level of DFT.

a = 5.126 Å, b = 7.075 Å, c = 8.834 Å
α = 66.40°, β = 73.46°, γ = 90.00°
Sites, in units of the cell vectors:
Pm  0.500  0.247  0.000
Pm  0.165  0.414  0.669
Pm  0.500  0.753  0.000
Pm  0.835  0.586  0.331
Pm  0.835  0.083  0.331
Pm  0.165  0.917  0.669
Pd  0.670  0.171  0.659
Pd  0.000  0.500  0.000
Pd  0.334  0.334  0.333
Pd  0.666  0.666  0.667
Pd  0.330  0.829  0.341
Pt  0.000  0.000  0.000

Properties
Relative energy among the computed polymorphs = 0 meV/atom
Space group = No. 12

---

Computed, not measured: crystalline PmPd2Pt2 at its relaxed geometry at the GGA-PBE level of DFT.

a = 3.914 Å, b = 3.914 Å, c = 12.988 Å
α = 98.67°, β = 98.67°, γ = 90.00°
Sites, in units of the cell vectors:
Pm  0.624  0.624  0.247
Pm  0.376  0.376  0.753
Pt  0.250  0.750  0.500
Pt  0.074  0.074  0.148
Pt  0.750  0.250  0.500
Pt  0.926  0.926  0.852
Pd  0.176  0.176  0.352
Pd  0.824  0.824  0.648
Pd  0.000  0.500  0.000
Pd  0.500  0.000  0.000

Properties
Space group = No. 139

---

Computed, not measured: crystalline Pm2Pd3Pt3 at its relaxed geometry at the GGA-PBE level of DFT.

a = 4.146 Å, b = 4.179 Å, c = 8.448 Å
α = 90.00°, β = 90.00°, γ = 90.00°
Sites, in units of the cell vectors:
Pt  0.500  0.000  0.500
Pt  0.000  0.500  0.000
Pt  0.000  0.500  0.500
Pd  0.500  0.000  0.000
Pd  0.500  0.500  0.750
Pd  0.500  0.500  0.250
Pm  0.000  0.000  0.750
Pm  0.000  0.000  0.250

Properties
Space group = No. 47

---

Computed, not measured: crystalline Pm2Pd3Pt at its relaxed geometry at the GGA-PBE level of DFT.

a = 4.997 Å, b = 5.570 Å, c = 5.941 Å
α = 117.96°, β = 114.87°, γ = 90.00°
Sites, in units of the cell vectors:
Pm  0.307  0.807  0.614
Pm  0.693  0.193  0.386
Pd  0.357  0.357  0.714
Pd  0.643  0.643  0.286
Pd  0.000  0.000  0.000
Pt  0.000  0.500  0.000

Properties
Relative energy among the computed polymorphs = 185 meV/atom
Space group = No. 71

---

Computed, not measured: crystalline PmPd6Pt at its relaxed geometry at the GGA-PBE level of DFT.

a = 5.432 Å, b = 5.432 Å, c = 5.432 Å
α = 86.89°, β = 86.89°, γ = 86.89°
Sites, in units of the cell vectors:
Pd  0.832  0.465  0.832
Pd  0.168  0.168  0.535
Pd  0.535  0.168  0.168
Pd  0.168  0.535  0.168
Pd  0.832  0.832  0.465
Pd  0.465  0.832  0.832
Pt  0.500  0.500  0.500
Pm  0.000  0.000  0.000

Properties
Space group = No. 166

---

Computed, not measured: crystalline Pm3PdPt2 at its relaxed geometry at the GGA-PBE level of DFT.

a = 4.577 Å, b = 3.849 Å, c = 8.629 Å
α = 102.94°, β = 105.38°, γ = 90.00°
Sites, in units of the cell vectors:
Pm  0.824  0.325  0.649
Pm  0.176  0.675  0.351
Pm  0.500  0.500  0.000
Pt  0.358  0.858  0.716
Pt  0.642  0.142  0.284
Pd  0.000  0.000  0.000

Properties
Relative energy among the computed polymorphs = 0 meV/atom
Space group = No. 12

---

Computed, not measured: crystalline Pm2Pd12Pt5 at its relaxed geometry at the GGA-PBE level of DFT.

a = 6.976 Å, b = 6.976 Å, c = 6.976 Å
α = 82.35°, β = 82.35°, γ = 82.35°
Sites, in units of the cell vectors:
Pd  0.843  0.351  0.351
Pd  0.000  0.301  0.699
Pd  0.301  0.000  0.699
Pd  0.649  0.157  0.649
Pd  0.301  0.699  0.000
Pd  0.000  0.699  0.301
Pd  0.699  0.301  0.000
Pd  0.351  0.843  0.351
Pd  0.157  0.649  0.649
Pd  0.351  0.351  0.843
Pd  0.649  0.649  0.157
Pd  0.699  0.000  0.301
Pt  0.105  0.105  0.105
Pt  0.000  0.500  0.000
Pt  0.000  0.000  0.500
Pt  0.500  0.000  0.000
Pt  0.895  0.895  0.895
Pm  0.330  0.330  0.330
Pm  0.670  0.670  0.670

Properties
Space group = No. 166

---

Computed, not measured: crystalline Pm4PdPt2 at its relaxed geometry at the GGA-PBE level of DFT.

a = 4.330 Å, b = 7.254 Å, c = 7.452 Å
α = 116.75°, β = 106.89°, γ = 90.00°
Sites, in units of the cell vectors:
Pm  0.144  0.788  0.288
Pm  0.612  0.315  0.225
Pm  0.388  0.685  0.775
Pm  0.856  0.212  0.712
Pt  0.228  0.239  0.456
Pt  0.772  0.761  0.544
Pd  0.000  0.000  0.000

Properties
Space group = No. 12

---

Computed, not measured: crystalline Pm3Pd3Pt at its relaxed geometry at the GGA-PBE level of DFT.

a = 4.369 Å, b = 3.893 Å, c = 10.031 Å
α = 101.19°, β = 102.58°, γ = 90.00°
Sites, in units of the cell vectors:
Pm  0.997  0.997  0.994
Pm  0.685  0.185  0.370
Pm  0.316  0.816  0.632
Pd  0.157  0.657  0.313
Pd  0.570  0.570  0.139
Pd  0.843  0.343  0.686
Pt  0.432  0.432  0.865

Properties
Space group = No. 44

---

Computed, not measured: crystalline Pm8Pd2Pt at its relaxed geometry at the GGA-PBE level of DFT.

a = 5.214 Å, b = 6.809 Å, c = 9.565 Å
α = 106.82°, β = 105.82°, γ = 90.00°
Sites, in units of the cell vectors:
Pm  0.029  0.792  0.058
Pm  0.971  0.208  0.942
Pm  0.797  0.657  0.595
Pm  0.329  0.998  0.657
Pm  0.671  0.002  0.343
Pm  0.409  0.541  0.818
Pm  0.591  0.459  0.182
Pm  0.203  0.343  0.405
Pd  0.174  0.740  0.347
Pd  0.826  0.260  0.653
Pt  0.500  0.000  0.000

Properties
Relative energy among the computed polymorphs = 0 meV/atom
Space group = No. 12

---

Computed, not measured: crystalline Pm8PdPt2 at its relaxed geometry at the GGA-PBE level of DFT.

a = 5.076 Å, b = 7.008 Å, c = 9.277 Å
α = 99.80°, β = 105.88°, γ = 90.00°
Sites, in units of the cell vectors:
Pd  0.500  0.000  0.000
Pm  0.203  0.334  0.406
Pm  0.588  0.448  0.177
Pm  0.966  0.225  0.931
Pm  0.797  0.666  0.594
Pm  0.334  0.033  0.668
Pm  0.412  0.552  0.823
Pm  0.034  0.775  0.069
Pm  0.666  0.967  0.332
Pt  0.802  0.259  0.603
Pt  0.198  0.741  0.397

Properties
Relative energy among the computed polymorphs = 0 meV/atom
Space group = No. 12

---

Computed, not measured: crystalline Pm5Pd2Pt2 at its relaxed geometry at the GGA-PBE level of DFT.

a = 7.801 Å, b = 7.786 Å, c = 8.488 Å
α = 117.30°, β = 90.00°, γ = 90.00°
Sites, in units of the cell vectors:
Pm  0.000  0.000  0.000
Pm  0.500  0.500  0.000
Pm  0.837  0.533  0.717
Pm  0.837  0.816  0.283
Pm  0.663  0.316  0.283
Pm  0.337  0.684  0.717
Pm  0.663  0.033  0.717
Pm  0.163  0.184  0.717
Pm  0.337  0.967  0.283
Pm  0.163  0.467  0.283
Pd  0.126  0.626  0.000
Pd  0.874  0.374  0.000
Pd  0.626  0.874  0.000
Pd  0.374  0.126  0.000
Pt  0.000  0.801  0.601
Pt  0.500  0.301  0.601
Pt  0.000  0.199  0.399
Pt  0.500  0.699  0.399

Properties
Relative energy among the computed polymorphs = 0 meV/atom
Space group = No. 64

---

ΔE_f, record by record: -6.6; -7.7; -4.3; -9.0; -6.3; -10.0; -5.2; -3.8; -9.9; -2.6; -6.8; -3.5; 1.0; -6.3; -6.6; -6.0; -6.0; -5.3; -6.2; -7.8 eV per formula unit
N(E_F), record by record: 11.74; 11.01; 13.98; 7.90; 15.94; 11.91; 5.79; 15.87; 8.36; 14.32; 9.46; 3.38; 6.46; 3.04; 19.88; 3.97; 3.99; 11.47; 10.94; 13.16 states/eV/cell